Entry 1:
{
  "formula": "Nb2FePd",
  "functional": "GGA-PBE",
  "state": "relaxed",
  "lattice_angstrom": [[-3.4889, 3.4889, 2.7070], [3.4889, -3.4889, 2.7070], [3.4889, 3.4889, -2.7070]],
  "species": ["Nb", "Nb", "Nb", "Nb", "Fe", "Fe", "Pd", "Pd"],
  "frac_coords": [[0.0936, 0.1250, 0.4686], [0.3750, 0.9064, 0.0314], [0.6564, 0.6250, 0.5314], [0.8750, 0.3436, 0.9686], [0.0000, 0.0000, 0.0000], [0.7500, 0.2500, 0.5000], [0.2500, 0.7500, 0.5000], [0.5000, 0.5000, 0.0000]],
  "dos_ef_per_ev_cell": 6.81,
  "formation_enthalpy_0k_mev_per_atom": 288.2,
  "relative_energy_mev_per_atom": 459
}

***

Entry 2:
{
  "formula": "Nb3FePd",
  "functional": "GGA-PBE",
  "state": "relaxed",
  "lattice_angstrom": [[4.7893, 0.0000, 0.0000], [0.0000, 4.7893, 0.0000], [0.0000, 0.0000, 4.7893]],
  "species": ["Nb", "Nb", "Nb", "Fe", "Pd"],
  "frac_coords": [[0.0000, 0.0000, 0.5000], [0.0000, 0.5000, 0.0000], [0.5000, 0.0000, 0.0000], [0.5000, 0.5000, 0.5000], [0.0000, 0.0000, 0.0000]],
  "dos_ef_per_ev_cell": 11.21,
  "formation_enthalpy_0k_mev_per_atom": 1788.2,
  "relative_energy_mev_per_atom": 1182
}

***

Entry 3:
{
  "formula": "Nb2FePd6",
  "functional": "GGA-PBE",
  "state": "relaxed",
  "lattice_angstrom": [[0.0000, 5.9005, 5.9925], [1.9725, 0.0000, 5.9925], [1.9725, 5.9005, 0.0000]],
  "species": ["Nb", "Nb", "Fe", "Pd", "Pd", "Pd", "Pd", "Pd", "Pd"],
  "frac_coords": [[0.1500, 0.1500, 0.8500], [0.8500, 0.8500, 0.1500], [0.5000, 0.5000, 0.5000], [0.1656, 0.8344, 0.1656], [0.1738, 0.4905, 0.5095], [0.4905, 0.1738, 0.8262], [0.5095, 0.8262, 0.1738], [0.8262, 0.5095, 0.4905], [0.8344, 0.1656, 0.8344]],
  "dos_ef_per_ev_cell": 7.30,
  "formation_enthalpy_0k_mev_per_atom": -259.8,
  "relative_energy_mev_per_atom": 0
}

***

Entry 4:
{
  "formula": "Nb2FePd",
  "functional": "GGA-PBE",
  "state": "relaxed",
  "lattice_angstrom": [[3.9698, 0.0000, 0.0000], [0.0000, 3.9698, 0.0000], [0.0000, 0.0000, 3.9996]],
  "species": ["Nb", "Nb", "Fe", "Pd"],
  "frac_coords": [[0.0000, 0.5000, 0.0000], [0.5000, 0.0000, 0.0000], [0.0000, 0.0000, 0.5000], [0.5000, 0.5000, 0.5000]],
  "dos_ef_per_ev_cell": 4.64,
  "formation_enthalpy_0k_mev_per_atom": -51.5,
  "relative_energy_mev_per_atom": 119
}

***

What did the second record say?
{
  "formula": "Nb3FePd",
  "functional": "GGA-PBE",
  "state": "relaxed",
  "lattice_angstrom": [[4.7893, 0.0000, 0.0000], [0.0000, 4.7893, 0.0000], [0.0000, 0.0000, 4.7893]],
  "species": ["Nb", "Nb", "Nb", "Fe", "Pd"],
  "frac_coords": [[0.0000, 0.0000, 0.5000], [0.0000, 0.5000, 0.0000], [0.5000, 0.0000, 0.0000], [0.5000, 0.5000, 0.5000], [0.0000, 0.0000, 0.0000]],
  "dos_ef_per_ev_cell": 11.21,
  "formation_enthalpy_0k_mev_per_atom": 1788.2,
  "relative_energy_mev_per_atom": 1182
}